Density functional theory data (PBE-GGA) for a geometry-optimized Na2HfIO structure.

Lattice parameters (Å, degrees): 6.4626 6.4626 3.9763 90.00 90.00 90.00
With the nearest neighbours (Å) after each atom.
Space group P4/mmm (No. 123)
Inequivalent atoms, fractional coordinates:
Na 0.0000 0.5000 0.0000  2 Hf 3.23
Hf 0.0000 0.0000 0.0000  2 O 1.99
I 0.5000 0.5000 0.5000  8 Na 3.79, 2 I 3.98
O 0.0000 0.0000 0.5000  2 Hf 1.99

Summary:
E: -4.590 eV/atom